6
Lattice="5.2648 -0.1832 -0.3644 -2.4502 4.6636 0.3644 -2.5488 -1.5231 7.2229" Properties=species:S:1:pos:R:3 comment="PBE SrPtAu, relaxed" space_group="C2/m, No. 12" polymorph_energy_mev_per_atom=191.8 formation_enthalpy_0k_mev_per_atom=-553.1 pbc="T T T"
Au -1.2744 -0.7615 3.6114
Sr -2.3077 1.4497 5.9065
Sr 2.5735 1.5076 1.3164
Pt 0.4738 2.8267 5.9693
Pt -0.2080 0.1306 1.2536
Au 0.1329 1.4787 3.6114

4
Lattice="-3.4338 -0.8667 3.1191 0.5858 -3.3104 3.3119 1.0444 2.1305 5.2269" Properties=species:S:1:pos:R:3 comment="PBE SrPtAu2, relaxed" space_group="Cm, No. 8" polymorph_energy_mev_per_atom=0.0 formation_enthalpy_0k_mev_per_atom=-516.9 pbc="T T T"
Sr -0.4330 -0.4799 2.9435
Au 0.7471 1.6055 4.7710
Pt -0.5542 -0.4093 6.3642
Au -1.4209 -1.6557 8.6351

4
Lattice="-2.7256 1.0047 4.7809 -5.0667 -2.3461 0.3471 5.2895 -1.5105 -1.0173" Properties=species:S:1:pos:R:3 comment="PBE SrPtAu2, relaxed" space_group="Immm, No. 71" polymorph_energy_mev_per_atom=111.8 formation_enthalpy_0k_mev_per_atom=-405.2 pbc="T T T"
Au -4.0664 -0.7000 2.6761
Au -7.6220 -1.3121 5.0160
Pt -0.6661 -0.5883 3.1638
Sr -1.8366 -2.2636 0.9469